# GGA-PBE InMo2Pt, optimized geometry
# E = -7.644 eV/atom
# spin magnetization = 0.0 μB per formula unit
# energy relative to the elements = -34 meV per atom
data_InMo2Pt
_chemical_formula_sum 'In2 Mo4 Pt2'
_cell_length_a 3.8843
_cell_length_b 3.8843
_cell_length_c 8.8450
_cell_angle_alpha 90.00
_cell_angle_beta 90.00
_cell_angle_gamma 90.00
_space_group_name_H-M_alt 'I 4/m m m'
_space_group_IT_number 139
_space_group_name_Hall '-I 4 2'
loop_
_atom_site_label
_atom_site_type_symbol
_atom_site_fract_x
_atom_site_fract_y
_atom_site_fract_z
In1 In 0.0000 0.0000 0.0000
Mo1 Mo 0.0000 0.5000 0.2500
Pt1 Pt 0.0000 0.0000 0.5000